[1]
# DyY2Tm7

A relaxed DyY2Tm7 crystal (PBE, the Alexandria database).

It has space group Cmmm (No. 65), with a = 8.5000 Å, b = 17.7014 Å, c = 4.9713 Å, α = 90.00°, β = 90.00° and γ = 90.00°. Symmetry generates all atoms from Dy at (0.0000, 0.0000, 0.0000), Y at (0.0000, 0.2977, 0.5000), Tm at (0.0000, 0.1896, 0.0000), Tm at (0.0000, 0.5000, 0.5000) and Tm at (0.1807, 0.1035, 0.5000).

As for the crystal system: orthorhombic. The value obtained for the volume is 748.0 Å³/cell. The value obtained for the mass density is 6.76 Mg/m³. The value obtained for the total magnetic moment is 0.000 μB per atom. For the energy of formation, the calculation gives 0.714 eV per atom. The offset from the most stable computed form comes out at 5.895 eV per formula unit. As for the total energy: -4.17 eV per atom.

***

[2]
# Co5Ni4Pt

A relaxed Co5Ni4Pt crystal (PBE, the Alexandria database).

It has space group P1 (No. 1), with a = 4.3767 Å, b = 4.3803 Å, c = 6.7011 Å, α = 102.66°, β = 108.86° and γ = 99.62°. Symmetry generates all atoms from Co at (0.0000, 0.0000, 0.0000), Co at (0.0091, 0.5089, 0.5202), Co at (0.4130, 0.7061, 0.9049), Co at (0.6016, 0.2901, 0.1021), Co at (0.8031, 0.4046, 0.8056), Ni at (0.2076, 0.1063, 0.7106), Ni at (0.4181, 0.2139, 0.4183), Ni at (0.6141, 0.8090, 0.6169), Ni at (0.8156, 0.9199, 0.3145) and Pt at (0.2079, 0.6049, 0.2097).

As for the crystal system: triclinic. The value obtained for the volume is 114.6 Å³/cell. The value obtained for the mass density is 10.50 Mg/m³. The value obtained for the total magnetic moment is 1.140 μB per atom. For the energy of formation, the calculation gives -0.022 eV per atom. As for the total energy: -6.49 eV per atom.

***

Repeat the first record exactly.
# DyY2Tm7

A relaxed DyY2Tm7 crystal (PBE, the Alexandria database).

It has space group Cmmm (No. 65), with a = 8.5000 Å, b = 17.7014 Å, c = 4.9713 Å, α = 90.00°, β = 90.00° and γ = 90.00°. Symmetry generates all atoms from Dy at (0.0000, 0.0000, 0.0000), Y at (0.0000, 0.2977, 0.5000), Tm at (0.0000, 0.1896, 0.0000), Tm at (0.0000, 0.5000, 0.5000) and Tm at (0.1807, 0.1035, 0.5000).

As for the crystal system: orthorhombic. The value obtained for the volume is 748.0 Å³/cell. The value obtained for the mass density is 6.76 Mg/m³. The value obtained for the total magnetic moment is 0.000 μB per atom. For the energy of formation, the calculation gives 0.714 eV per atom. The offset from the most stable computed form comes out at 5.895 eV per formula unit. As for the total energy: -4.17 eV per atom.